The following is a PBE-GGA calculation of a relaxed structure of La5PrSm4, from the Alexandria database.

Results
As for the energy of formation from the pure elements: 0.199 eV per formula unit. As for the space-group type: P4/mmm. The value obtained for the total energy is -48.09 eV for the cell shown.

a b c (Å): 3.7219 3.7219 25.8175
angles (deg): 90.00 90.00 90.00
Closest atoms and distances in Å follow each position.
Positions (direct):
Sm 0.0000 0.0000 0.7980  8 La 3.68-3.69, 4 Sm 3.72
Sm 0.0000 0.0000 0.2020  8 La 3.68-3.69, 4 Sm 3.72
Sm 0.0000 0.0000 0.4007  8 La 3.67, 4 Sm 3.72
Sm 0.0000 0.0000 0.5993  8 La 3.67, 4 Sm 3.72
La 0.5000 0.5000 0.5000  8 Sm 3.67, 4 La 3.72
La 0.5000 0.5000 0.1021  4 Sm 3.69, 4 La 3.72, 4 Pr 3.72
La 0.5000 0.5000 0.3014  8 Sm 3.67-3.68, 4 La 3.72
La 0.5000 0.5000 0.6986  8 Sm 3.67-3.68, 4 La 3.72
La 0.5000 0.5000 0.8979  4 Sm 3.69, 4 La 3.72, 4 Pr 3.72
Pr 0.0000 0.0000 0.0000  4 Pr 3.72, 8 La 3.72